# ScCrN2F

ScCrN2F after structural relaxation (PBE+U, the Alexandria database).

a b c (Å): 4.1880 4.1880 3.9657
angles (deg): 90.00 90.00 90.00
Space group P4/mmm (No. 123)
One atom of each set of equivalent atoms:
Sc 0.0000 0.0000 0.0000 (multiplicity 1)
Cr 0.5000 0.5000 0.5000 (multiplicity 1)
N 0.0000 0.5000 0.0000 (multiplicity 2)
F 0.0000 0.0000 0.5000 (multiplicity 1)

Summary:
- Crystal system: tetragonal
- Fermi-level density of states: 3.55 states/eV/cell
- Total DFT energy (no corrections): -6.84 eV per atom